# Ce2Sm2Tl3, optimized geometry, DFT GGA-PBE
# - Formation energy: -0.198 eV per atom
data_Ce2Sm2Tl3
_cell_length_a 11.344
_cell_length_b 4.977
_cell_length_c 7.253
_cell_angle_alpha 90.00
_cell_angle_beta 92.40
_cell_angle_gamma 90.00
_symmetry_space_group_name_H-M 'C 1 2/m 1'
_symmetry_Int_Tables_number 12
loop_
_symmetry_equiv_pos_as_xyz
'x,y,z'
'-x,-y,-z'
'-x,y,-z'
'x,-y,z'
'x+1/2,y+1/2,z'
'-x+1/2,-y+1/2,-z'
'-x+1/2,y+1/2,-z'
'x+1/2,-y+1/2,z'
loop_
_atom_site_label
_atom_site_type_symbol
_atom_site_fract_x
_atom_site_fract_y
_atom_site_fract_z
_atom_site_occupancy
Ce1 Ce 0.072 0.000 0.162 1
Sm1 Sm 0.200 0.000 0.649 1
Tl1 Tl 0.000 0.500 0.500 1
Tl2 Tl 0.136 0.500 0.907 1



# CeSmTl2, optimized geometry, DFT GGA-PBE
# - Formation energy: -0.290 eV per atom
data_CeSmTl2
_cell_length_a 7.768
_cell_length_b 7.768
_cell_length_c 7.768
_cell_angle_alpha 90.00
_cell_angle_beta 90.00
_cell_angle_gamma 90.00
_symmetry_space_group_name_H-M 'F m -3 m'
_symmetry_Int_Tables_number 225
_symmetry_space_group_name_Hall '-F 4 2 3'
loop_
_atom_site_label
_atom_site_type_symbol
_atom_site_fract_x
_atom_site_fract_y
_atom_site_fract_z
_atom_site_occupancy
Ce1 Ce 0.000 0.000 0.000 1
Sm1 Sm 0.000 0.000 0.500 1
Tl1 Tl 0.250 0.250 0.250 1



Which formula does entry 1 have? Ce2Sm2Tl3